1.
## TmTlCu (PBE)

Data for a relaxed structure of TmTlCu.

**E_tot**: -11.20 eV/cell

Unit cell a=6.1091 b=6.1091 c=6.1091 alpha=147.32 beta=147.32 gamma=46.89
Last column: nearest neighbours and their distance in Å.
Sites, in units of the cell vectors:
Tm  0.0000  0.0000  0.0000  4 Cu 2.91
Tl  0.7053  0.7053  0.0000  4 Cu 2.96, 1 Tm 3.30
Cu  0.3568  0.3568  0.0000  4 Tm 2.91, 4 Tl 2.96

---

2.
## PmPrLu4 (PBE)

Data for a relaxed structure of PmPrLu4.

**E_tot**: -26.01 eV/cell

Unit cell a=6.6251 b=6.6251 c=6.6251 alpha=60.00 beta=60.00 gamma=60.00
Last column: nearest neighbours and their distance in Å.
Sites, in units of the cell vectors:
Pm  0.0000  0.0000  0.0000  12 Lu 3.88, 4 Pr 4.06
Pr  0.2500  0.2500  0.2500  12 Lu 3.88, 4 Pm 4.06
Lu  0.1248  0.6251  0.6251  6 Lu 3.31
Lu  0.6251  0.1248  0.6251  6 Lu 3.31
Lu  0.6251  0.6251  0.1248  6 Lu 3.31
Lu  0.6251  0.6251  0.6251  6 Lu 3.31

---

3.
## LiCeTe (PBE)

Data for a relaxed structure of LiCeTe.

**ΔE to the lowest computed polymorph**: 211 meV per atom
**Formation energy without anion corrections**: -1.921 eV/f.u.

Unit cell a=11.6766 b=11.6766 c=11.6766 alpha=21.04 beta=21.04 gamma=21.04
Last column: nearest neighbours and their distance in Å.
Sites, in units of the cell vectors:
Li  0.1330  0.1330  0.1330  3 Te 2.65
Li  0.8670  0.8670  0.8670  3 Te 2.65
Ce  0.2903  0.2903  0.2903  3 Te 3.24
Ce  0.7097  0.7097  0.7097  3 Te 3.24
Te  0.4379  0.4379  0.4379  3 Li 2.65
Te  0.5621  0.5621  0.5621  3 Li 2.65

---

4.
## CeMnSi (PBE)

Data for a relaxed structure of CeMnSi.

**Formation energy without anion corrections**: -1.515 eV/f.u.

Unit cell a=4.1327 b=4.1339 c=6.4973 alpha=90.00 beta=90.26 gamma=90.00
Last column: nearest neighbours and their distance in Å.
Sites, in units of the cell vectors:
Ce  0.2486  0.2500  0.1942  4 Mn 2.86-2.87, 5 Si 3.03-3.17
Ce  0.7514  0.7500  0.8058  4 Mn 2.86-2.87, 5 Si 3.03-3.17
Mn  0.2502  0.7500  0.5001  4 Si 2.38
Mn  0.7498  0.2500  0.4999  4 Si 2.38
Si  0.2510  0.2500  0.6822  4 Mn 2.38
Si  0.7490  0.7500  0.3178  4 Mn 2.38

---

5.
## PmGa5Rh (PBE)

Data for a relaxed structure of PmGa5Rh.

**E_tot**: -31.37 eV/cell

Unit cell a=4.3655 b=4.3655 c=6.9839 alpha=90.00 beta=90.00 gamma=90.00
Last column: nearest neighbours and their distance in Å.
Sites, in units of the cell vectors:
Pm  0.0000  0.0000  0.0000  12 Ga 3.06-3.09
Ga  0.0000  0.5000  0.3062  2 Rh 2.57, 1 Ga 2.71
Ga  0.0000  0.5000  0.6938  2 Rh 2.57, 1 Ga 2.71
Ga  0.5000  0.0000  0.3062  2 Rh 2.57, 1 Ga 2.71
Ga  0.5000  0.0000  0.6938  2 Rh 2.57, 1 Ga 2.71
Ga  0.5000  0.5000  0.0000  8 Ga 3.06, 4 Pm 3.09
Rh  0.0000  0.0000  0.5000  8 Ga 2.57

---

6.
## BaTcI2O (PBE)

Data for a relaxed structure of BaTcI2O.

**ΔE to the lowest computed polymorph**: 1021 meV per atom
**Formation energy without anion corrections**: 0.882 eV/f.u.

Unit cell a=6.7236 b=6.7236 c=4.4624 alpha=90.00 beta=90.00 gamma=90.00
Last column: nearest neighbours and their distance in Å.
Sites, in units of the cell vectors:
Ba  0.0000  0.0000  0.0000  2 O 2.23
Tc  0.5000  0.5000  0.5000  8 I 4.03, 2 Tc 4.46
I  0.0000  0.5000  0.0000  2 Ba 3.36
I  0.5000  0.0000  0.0000  2 Ba 3.36
O  0.0000  0.0000  0.5000  2 Ba 2.23

---

7.
## Ho3Tm6Sc2 (PBE)

Data for a relaxed structure of Ho3Tm6Sc2.

**E_tot**: -49.88 eV/cell

Unit cell a=16.1462 b=16.1462 c=16.1462 alpha=163.45 beta=163.45 gamma=23.49
Last column: nearest neighbours and their distance in Å.
Sites, in units of the cell vectors:
Ho  0.0000  0.0000  0.0000  8 Sc 3.57
Ho  0.1994  0.1994  0.0000  9 Tm 3.29-3.50
Ho  0.8006  0.8006  0.0000  9 Tm 3.29-3.50
Tm  0.1166  0.6166  0.5000  2 Sc 3.27, 6 Tm 3.29-3.35, 2 Ho 3.50
Tm  0.3069  0.3069  0.0000  5 Ho 3.29-3.40, 4 Tm 3.35
Tm  0.3834  0.8834  0.5000  2 Sc 3.27, 6 Tm 3.29-3.35, 2 Ho 3.50
Tm  0.6166  0.1166  0.5000  2 Sc 3.27, 6 Tm 3.29-3.35, 2 Ho 3.50
Tm  0.6931  0.6931  0.0000  5 Ho 3.29-3.40, 4 Tm 3.35
Tm  0.8834  0.3834  0.5000  2 Sc 3.27, 6 Tm 3.29-3.35, 2 Ho 3.50
Sc  0.4561  0.4561  0.0000  1 Sc 2.78
Sc  0.5439  0.5439  0.0000  1 Sc 2.78

---

8.
## InRe2H (PBE)

Data for a relaxed structure of InRe2H.

**ΔE to the lowest computed polymorph**: 769 meV per atom

Unit cell a=4.3492 b=4.3492 c=4.3492 alpha=60.00 beta=60.00 gamma=60.00
Last column: nearest neighbours and their distance in Å.
Sites, in units of the cell vectors:
In  0.0000  0.0000  0.0000  8 Re 2.66
Re  0.2500  0.2500  0.2500  4 In 2.66, 4 H 2.66
Re  0.7500  0.7500  0.7500  4 H 2.66, 4 In 2.66
H  0.5000  0.5000  0.5000  8 Re 2.66

---

9.
## ScCdMo2 (PBE)

Data for a relaxed structure of ScCdMo2.

**E_tot**: -28.20 eV/cell

Unit cell a=5.3430 b=5.3430 c=5.3430 alpha=142.08 beta=126.45 gamma=67.48
Last column: nearest neighbours and their distance in Å.
Sites, in units of the cell vectors:
Sc  0.0000  0.0000  0.0000  6 Mo 2.82-3.00, 4 Cd 3.00-3.13
Cd  0.2752  0.7752  0.5000  8 Mo 2.98-3.14, 4 Sc 3.00-3.13
Mo  0.5488  0.5488  0.0000  2 Mo 2.49
Mo  0.7493  0.2493  0.5000  2 Mo 2.49

---

10.
## ZrTcHg2 (PBE)

Data for a relaxed structure of ZrTcHg2.

**ΔE to the lowest computed polymorph**: 0 meV per atom

Unit cell a=5.3672 b=5.3672 c=5.3672 alpha=134.88 beta=134.88 gamma=65.72
Last column: nearest neighbours and their distance in Å.
Sites, in units of the cell vectors:
Zr  0.0000  0.0000  0.0000  4 Tc 2.91, 8 Hg 3.05
Tc  0.5000  0.5000  0.0000  4 Zr 2.91, 8 Hg 3.05
Hg  0.2500  0.7500  0.5000  4 Hg 2.91, 4 Zr 3.05, 4 Tc 3.05
Hg  0.7500  0.2500  0.5000  4 Hg 2.91, 4 Zr 3.05, 4 Tc 3.05

---

11.
## LiCrIr2 (PBE)

Data for a relaxed structure of LiCrIr2.

**E_tot**: -28.70 eV/cell

Unit cell a=4.2768 b=4.2768 c=4.2768 alpha=60.00 beta=60.00 gamma=60.00
Last column: nearest neighbours and their distance in Å.
Sites, in units of the cell vectors:
Li  0.0000  0.0000  0.0000  4 Ir 2.62, 4 Cr 2.62
Cr  0.2500  0.2500  0.2500  4 Ir 2.62, 4 Li 2.62
Ir  0.5000  0.5000  0.5000  4 Ir 2.62, 4 Cr 2.62
Ir  0.7500  0.7500  0.7500  4 Ir 2.62, 4 Li 2.62

---

12.
## PmGdPuBi (PBE)

Data for a relaxed structure of PmGdPuBi.

**E_tot**: -37.60 eV/cell

Unit cell a=5.5372 b=5.5372 c=5.5372 alpha=60.00 beta=60.00 gamma=60.00
Last column: nearest neighbours and their distance in Å.
Sites, in units of the cell vectors:
Pm  0.0000  0.0000  0.0000  4 Bi 3.39, 4 Pu 3.39
Gd  0.5000  0.5000  0.5000  4 Bi 3.39, 4 Pu 3.39
Pu  0.7500  0.7500  0.7500  4 Gd 3.39, 4 Pm 3.39
Bi  0.2500  0.2500  0.2500  4 Gd 3.39, 4 Pm 3.39

---

Repeat the seventh record exactly.
## Ho3Tm6Sc2 (PBE)

Data for a relaxed structure of Ho3Tm6Sc2.

**E_tot**: -49.88 eV/cell

Unit cell a=16.1462 b=16.1462 c=16.1462 alpha=163.45 beta=163.45 gamma=23.49
Last column: nearest neighbours and their distance in Å.
Sites, in units of the cell vectors:
Ho  0.0000  0.0000  0.0000  8 Sc 3.57
Ho  0.1994  0.1994  0.0000  9 Tm 3.29-3.50
Ho  0.8006  0.8006  0.0000  9 Tm 3.29-3.50
Tm  0.1166  0.6166  0.5000  2 Sc 3.27, 6 Tm 3.29-3.35, 2 Ho 3.50
Tm  0.3069  0.3069  0.0000  5 Ho 3.29-3.40, 4 Tm 3.35
Tm  0.3834  0.8834  0.5000  2 Sc 3.27, 6 Tm 3.29-3.35, 2 Ho 3.50
Tm  0.6166  0.1166  0.5000  2 Sc 3.27, 6 Tm 3.29-3.35, 2 Ho 3.50
Tm  0.6931  0.6931  0.0000  5 Ho 3.29-3.40, 4 Tm 3.35
Tm  0.8834  0.3834  0.5000  2 Sc 3.27, 6 Tm 3.29-3.35, 2 Ho 3.50
Sc  0.4561  0.4561  0.0000  1 Sc 2.78
Sc  0.5439  0.5439  0.0000  1 Sc 2.78